A relaxed structure of NaDyAgPd. Source: Alexandria, functional PBE.

- Magnetic moment: 0.000 μB per atom
- Total energy: -3.795 eV per atom

a = 7.0057 Å, b = 7.0057 Å, c = 7.0057 Å
α = 90.00°, β = 90.00°, γ = 90.00°
Space group F-43m (No. 216)
Symmetry-distinct sites (fractional):
1 Na 0.0000 0.0000 0.0000 [4 per cell]
2 Dy 0.0000 0.0000 0.5000 [4 per cell]
3 Ag 0.2500 0.2500 0.2500 [4 per cell]
4 Pd 0.2500 0.2500 0.7500 [4 per cell]